Below is crystalline SrLiNi2O at its relaxed geometry, with properties calculated at the GGA+U level.

Geometry as POSCAR:
```
SrLiNi2O
1.0
4.559 0.000 0.000
0.000 5.813 0.000
0.000 0.000 4.559
O Ni Sr Li
1 2 1 1
Cartesian
2.279 2.906 2.279
2.279 0.000 0.000
0.000 0.000 2.279
0.000 0.000 0.000
0.000 2.906 0.000
```

Properties
For the uncorrected energy, the calculation gives -0.76 eV per atom.